(1)
First-principles (PBE-GGA) data for a geometry-optimized Np2SiPt6 structure, as listed in Alexandria.

Computed properties:
Space group ... C2/m (12)
Formation energy from raw total energies ... -6.1 eV/f.u.

Geometry as extended XYZ:
```
9
Lattice="-5.479 1.202 -0.412 2.515 0.015 4.992 1.260 6.005 0.762" Properties=species:S:1:pos:R:3 pbc="T T T"
Pt -3.274 5.210 1.475
Pt 0.315 1.924 1.422
Pt 1.570 2.012 3.868
Pt -2.019 5.298 3.920
Pt -0.581 4.619 1.677
Pt -1.124 2.603 3.665
Np -2.629 1.616 1.281
Np 0.924 5.606 4.062
Si 0.000 0.000 0.000
```

(2)
First-principles (PBE-GGA) data for a geometry-optimized Ba5YS6 structure, as listed in Alexandria.

Computed properties:
Space group ... C2/m (12)
Formation energy from raw total energies ... -24.4 eV/f.u.

Geometry as extended XYZ:
```
12
Lattice="-3.558 6.445 2.171 -3.727 -1.215 6.629 3.560 1.246 6.703" Properties=species:S:1:pos:R:3 pbc="T T T"
S -1.784 1.233 11.287
S -1.941 5.243 4.217
S -2.047 1.114 6.643
S -1.666 1.229 1.995
S -5.619 4.001 6.805
S -1.679 5.362 8.860
Ba -3.643 2.615 4.400
Ba -3.665 2.637 8.865
Ba -0.104 0.023 8.893
Ba -0.061 3.839 6.638
Ba -0.063 0.008 4.439
Y 0.000 0.000 0.000
```

(3)
First-principles (PBE-GGA) data for a geometry-optimized Tb2GeC structure, as listed in Alexandria.

Computed properties:
Space group ... R-3m (166)
Final energy ... -5.8517 eV/atom

Geometry as extended XYZ:
```
4
Lattice="-2.443 2.319 1.176 -2.533 1.196 -2.209 -6.771 -5.386 1.966" Properties=species:S:1:pos:R:3 pbc="T T T"
C -5.873 -0.935 0.466
Tb -6.738 1.255 -0.237
Tb -5.009 -3.125 1.169
Ge 0.000 0.000 0.000
```

(4)
First-principles (PBE-GGA) data for a geometry-optimized FeCu3Rh6 structure, as listed in Alexandria.

Computed properties:
Space group ... Cmmm (65)
Final energy ... -6.0407 eV/atom

Geometry as extended XYZ:
```
10
Lattice="2.633 0.000 0.000 0.000 7.655 -3.164 0.000 -0.596 8.262" Properties=species:S:1:pos:R:3 pbc="T T T"
Fe 0.000 3.530 2.549
Rh 0.000 2.531 0.235
Rh 0.000 4.528 4.863
Rh 0.000 1.019 2.328
Rh 1.317 2.235 4.341
Rh 1.317 4.824 0.757
Rh 0.000 6.040 2.769
Cu 0.000 0.000 0.000
Cu 1.317 3.828 -1.582
Cu 1.317 -0.298 4.131
```

(5)
First-principles (PBE-GGA) data for a geometry-optimized TbThRe structure, as listed in Alexandria.

Computed properties:
Space group ... I4mm (107)
Energy relative to the lowest polymorph listed for this composition ... 0 meV/atom

Geometry as extended XYZ:
```
3
Lattice="3.484 0.000 0.000 0.000 3.484 0.000 -1.742 -1.742 6.685" Properties=species:S:1:pos:R:3 pbc="T T T"
Tb 0.000 0.000 0.503
Th 0.000 0.000 3.920
Re 1.742 1.742 2.262
```

(6)
First-principles (PBE-GGA) data for a geometry-optimized Co2Pt2Cl structure, as listed in Alexandria.

Computed properties:
Space group ... I4/mmm (139)
Energy relative to the lowest polymorph listed for this composition ... 58 meV/atom
Formation energy from raw total energies ... 2.1 eV/f.u.

Geometry as extended XYZ:
```
5
Lattice="-2.837 -1.807 -0.035 1.781 -2.807 0.510 -1.179 -1.421 7.395" Properties=species:S:1:pos:R:3 pbc="T T T"
Co -2.272 -2.767 3.799
Co 0.037 -3.268 4.071
Pt -1.549 -3.943 5.897
Pt -0.686 -2.092 1.974
Cl 0.000 0.000 0.000
```